No. 1
# meta-GGA SCAN K3Te, PBEsol geometry
# **DOS(E_F)**: 1.46 states/eV per cell
# **Symmetry**: R-3m
# **Energy relative to the elements, uncorrected**: -489 meV/atom
data_K3Te
_space_group_name_H-M_alt 'P 1'
_space_group_IT_number 1
_cell_length_a 4.9492
_cell_length_b 6.6346
_cell_length_c 6.6346
_cell_angle_alpha 114.03
_cell_angle_beta 104.40
_cell_angle_gamma 104.40
loop_
_space_group_symop_operation_xyz
'x,y,z'
loop_
_atom_site_label
_atom_site_type_symbol
_atom_site_fract_x
_atom_site_fract_y
_atom_site_fract_z
_atom_site_occupancy
K1 K 0.5000 0.5000 0.5000 1
K2 K 0.0000 0.5000 0.0000 1
K3 K 0.0000 0.0000 0.5000 1
Te1 Te 0.5000 0.0000 0.0000 1


No. 2
# meta-GGA SCAN KGePPb2, PBEsol geometry
# **DOS(E_F)**: 2.93 states/eV per cell
# **Symmetry**: P4/mmm
data_KGePPb2
_space_group_name_H-M_alt 'P 1'
_space_group_IT_number 1
_cell_length_a 5.2710
_cell_length_b 5.2710
_cell_length_c 5.6815
_cell_angle_alpha 90.00
_cell_angle_beta 90.00
_cell_angle_gamma 90.00
loop_
_space_group_symop_operation_xyz
'x,y,z'
loop_
_atom_site_label
_atom_site_type_symbol
_atom_site_fract_x
_atom_site_fract_y
_atom_site_fract_z
_atom_site_occupancy
Pb1 Pb 0.0000 0.5000 0.0000 1
Pb2 Pb 0.5000 0.0000 0.0000 1
P1 P 0.0000 0.0000 0.0000 1
Ge1 Ge 0.5000 0.5000 0.5000 1
K1 K 0.0000 0.0000 0.5000 1


No. 3
# meta-GGA SCAN ErLuCu2, PBEsol geometry
# **DOS(E_F)**: 1.96 states/eV per cell
# **Symmetry**: Fm-3m
data_ErLuCu2
_space_group_name_H-M_alt 'P 1'
_space_group_IT_number 1
_cell_length_a 4.7359
_cell_length_b 4.7359
_cell_length_c 4.7359
_cell_angle_alpha 60.00
_cell_angle_beta 60.00
_cell_angle_gamma 60.00
loop_
_space_group_symop_operation_xyz
'x,y,z'
loop_
_atom_site_label
_atom_site_type_symbol
_atom_site_fract_x
_atom_site_fract_y
_atom_site_fract_z
_atom_site_occupancy
Lu1 Lu 0.0000 0.0000 0.0000 1
Cu1 Cu 0.7500 0.7500 0.7500 1
Cu2 Cu 0.2500 0.2500 0.2500 1
Er1 Er 0.5000 0.5000 0.5000 1


No. 4
# meta-GGA SCAN ZrSc2O, PBEsol geometry
# **DOS(E_F)**: 1.67 states/eV per cell
# **Symmetry**: R-3m
# **Energy relative to the elements, uncorrected**: -1390 meV/atom
data_ZrSc2O
_space_group_name_H-M_alt 'P 1'
_space_group_IT_number 1
_cell_length_a 3.1022
_cell_length_b 3.1022
_cell_length_c 8.5545
_cell_angle_alpha 79.55
_cell_angle_beta 79.55
_cell_angle_gamma 60.00
loop_
_space_group_symop_operation_xyz
'x,y,z'
loop_
_atom_site_label
_atom_site_type_symbol
_atom_site_fract_x
_atom_site_fract_y
_atom_site_fract_z
_atom_site_occupancy
Sc1 Sc 0.8824 0.8824 0.3529 1
Sc2 Sc 0.1176 0.1176 0.6471 1
O1 O 0.5000 0.5000 0.5000 1
Zr1 Zr 0.0000 0.0000 0.0000 1


No. 5
# meta-GGA SCAN As2WAu, PBEsol geometry
# **DOS(E_F)**: 2.03 states/eV per cell
# **Symmetry**: Imm2
data_As2WAu
_space_group_name_H-M_alt 'P 1'
_space_group_IT_number 1
_cell_length_a 3.1363
_cell_length_b 3.5938
_cell_length_c 6.8023
_cell_angle_alpha 105.32
_cell_angle_beta 103.33
_cell_angle_gamma 90.00
loop_
_space_group_symop_operation_xyz
'x,y,z'
loop_
_atom_site_label
_atom_site_type_symbol
_atom_site_fract_x
_atom_site_fract_y
_atom_site_fract_z
_atom_site_occupancy
As1 As 0.9409 0.9409 0.8818 1
As2 As 0.7140 0.2140 0.4280 1
Au1 Au 0.5599 0.5599 0.1198 1
W1 W 0.2852 0.7852 0.5705 1


No. 6
# meta-GGA SCAN KOs2, PBEsol geometry
# **DOS(E_F)**: 4.15 states/eV per cell
# **Symmetry**: I4/mmm
data_KOs2
_space_group_name_H-M_alt 'P 1'
_space_group_IT_number 1
_cell_length_a 2.8734
_cell_length_b 2.8734
_cell_length_c 7.5539
_cell_angle_alpha 100.96
_cell_angle_beta 100.96
_cell_angle_gamma 90.00
loop_
_space_group_symop_operation_xyz
'x,y,z'
loop_
_atom_site_label
_atom_site_type_symbol
_atom_site_fract_x
_atom_site_fract_y
_atom_site_fract_z
_atom_site_occupancy
K1 K 0.0000 0.0000 0.0000 1
Os1 Os 0.6996 0.6996 0.3991 1
Os2 Os 0.3004 0.3004 0.6009 1


No. 7
# meta-GGA SCAN BeAlCo2, PBEsol geometry
# **DOS(E_F)**: 1.42 states/eV per cell
# **Symmetry**: P4/mmm
data_BeAlCo2
_space_group_name_H-M_alt 'P 1'
_space_group_IT_number 1
_cell_length_a 2.7434
_cell_length_b 3.8112
_cell_length_c 3.8112
_cell_angle_alpha 90.00
_cell_angle_beta 90.00
_cell_angle_gamma 90.00
loop_
_space_group_symop_operation_xyz
'x,y,z'
loop_
_atom_site_label
_atom_site_type_symbol
_atom_site_fract_x
_atom_site_fract_y
_atom_site_fract_z
_atom_site_occupancy
Be1 Be 0.5000 0.0000 0.0000 1
Co1 Co 0.0000 0.0000 0.5000 1
Co2 Co 0.0000 0.5000 0.0000 1
Al1 Al 0.5000 0.5000 0.5000 1


No. 8
# meta-GGA SCAN Ba2Mo6S9, PBEsol geometry
# **DOS(E_F)**: 35.50 states/eV per cell
# **Symmetry**: P6_3mc
# **Energy relative to the elements, uncorrected**: -1184 meV/atom
data_Ba2Mo6S9
_space_group_name_H-M_alt 'P 1'
_space_group_IT_number 1
_cell_length_a 10.6063
_cell_length_b 10.6063
_cell_length_c 14.1398
_cell_angle_alpha 90.00
_cell_angle_beta 90.00
_cell_angle_gamma 120.00
loop_
_space_group_symop_operation_xyz
'x,y,z'
loop_
_atom_site_label
_atom_site_type_symbol
_atom_site_fract_x
_atom_site_fract_y
_atom_site_fract_z
_atom_site_occupancy
Ba1 Ba 0.1876 0.8124 0.7545 1
Ba2 Ba 0.6248 0.8124 0.7545 1
Ba3 Ba 0.0000 0.0000 0.0591 1
Ba4 Ba 0.0000 0.0000 0.5591 1
Ba5 Ba 0.1876 0.3752 0.7545 1
Ba6 Ba 0.8124 0.6248 0.2545 1
Ba7 Ba 0.3752 0.1876 0.2545 1
Ba8 Ba 0.8124 0.1876 0.2545 1
Mo1 Mo 0.2419 0.7581 0.1391 1
Mo2 Mo 0.2414 0.7586 0.3599 1
Mo3 Mo 0.4181 0.8362 0.9880 1
Mo4 Mo 0.4179 0.8358 0.5117 1
Mo5 Mo 0.5171 0.7586 0.3599 1
Mo6 Mo 0.1638 0.5819 0.9880 1
Mo7 Mo 0.1642 0.5821 0.5117 1
Mo8 Mo 0.5161 0.7581 0.1391 1
Mo9 Mo 0.4179 0.5821 0.5117 1
Mo10 Mo 0.4181 0.5819 0.9880 1
Mo11 Mo 0.2414 0.4829 0.3599 1
Mo12 Mo 0.2419 0.4839 0.1391 1
Mo13 Mo 0.7586 0.5171 0.8599 1
Mo14 Mo 0.7581 0.5161 0.6391 1
Mo15 Mo 0.5819 0.4181 0.4880 1
Mo16 Mo 0.5821 0.4179 0.0117 1
Mo17 Mo 0.8358 0.4179 0.0117 1
Mo18 Mo 0.4839 0.2419 0.6391 1
Mo19 Mo 0.8362 0.4181 0.4880 1
Mo20 Mo 0.4829 0.2414 0.8599 1
Mo21 Mo 0.5819 0.1638 0.4880 1
Mo22 Mo 0.5821 0.1642 0.0117 1
Mo23 Mo 0.7586 0.2414 0.8599 1
Mo24 Mo 0.7581 0.2419 0.6391 1
S1 S 0.1354 0.8646 0.2453 1
S2 S 0.1799 0.8201 0.9876 1
S3 S 0.1802 0.8198 0.5127 1
S4 S 0.4859 0.9718 0.3631 1
S5 S 0.4861 0.9722 0.1365 1
S6 S 0.3333 0.6667 0.2498 1
S7 S 0.0282 0.5141 0.3631 1
S8 S 0.0278 0.5139 0.1365 1
S9 S 0.3333 0.6667 0.8597 1
S10 S 0.3333 0.6667 0.6409 1
S11 S 0.6395 0.8198 0.5127 1
S12 S 0.7293 0.8646 0.2453 1
S13 S 0.6402 0.8201 0.9876 1
S14 S 0.8646 0.7293 0.7453 1
S15 S 0.4859 0.5141 0.3631 1
S16 S 0.4861 0.5139 0.1365 1
S17 S 0.1802 0.3605 0.5127 1
S18 S 0.1799 0.3598 0.9876 1
S19 S 0.8198 0.6395 0.0127 1
S20 S 0.8201 0.6402 0.4876 1
S21 S 0.5139 0.4861 0.6365 1
S22 S 0.5141 0.4859 0.8631 1
S23 S 0.1354 0.2707 0.2453 1
S24 S 0.6667 0.3333 0.3597 1
S25 S 0.9718 0.4859 0.8631 1
S26 S 0.3598 0.1799 0.4876 1
S27 S 0.6667 0.3333 0.1409 1
S28 S 0.2707 0.1354 0.7453 1
S29 S 0.6667 0.3333 0.7498 1
S30 S 0.3605 0.1802 0.0127 1
S31 S 0.9722 0.4861 0.6365 1
S32 S 0.5139 0.0278 0.6365 1
S33 S 0.5141 0.0282 0.8631 1
S34 S 0.8201 0.1799 0.4876 1
S35 S 0.8198 0.1802 0.0127 1
S36 S 0.8646 0.1354 0.7453 1


No. 9
# meta-GGA SCAN Zn3Fe, PBEsol geometry
# **DOS(E_F)**: 1.51 states/eV per cell
# **Symmetry**: Cmmm
data_Zn3Fe
_space_group_name_H-M_alt 'P 1'
_space_group_IT_number 1
_cell_length_a 2.6040
_cell_length_b 4.5724
_cell_length_c 4.5724
_cell_angle_alpha 111.24
_cell_angle_beta 90.00
_cell_angle_gamma 90.00
loop_
_space_group_symop_operation_xyz
'x,y,z'
loop_
_atom_site_label
_atom_site_type_symbol
_atom_site_fract_x
_atom_site_fract_y
_atom_site_fract_z
_atom_site_occupancy
Zn1 Zn 0.5000 0.0000 0.5000 1
Zn2 Zn 0.5000 0.5000 0.0000 1
Zn3 Zn 0.0000 0.5000 0.5000 1
Fe1 Fe 0.0000 0.0000 0.0000 1


No. 10
# meta-GGA SCAN Rb2LiSbI6, PBEsol geometry
# **DOS(E_F)**: 0.00 states/eV per cell
# **Symmetry**: Fm-3m
# **Energy relative to the elements, uncorrected**: -1027 meV/atom
data_Rb2LiSbI6
_space_group_name_H-M_alt 'P 1'
_space_group_IT_number 1
_cell_length_a 8.2975
_cell_length_b 8.2975
_cell_length_c 8.2975
_cell_angle_alpha 60.00
_cell_angle_beta 60.00
_cell_angle_gamma 60.00
loop_
_space_group_symop_operation_xyz
'x,y,z'
loop_
_atom_site_label
_atom_site_type_symbol
_atom_site_fract_x
_atom_site_fract_y
_atom_site_fract_z
_atom_site_occupancy
I1 I 0.7466 0.2534 0.2534 1
I2 I 0.7466 0.7466 0.2534 1
I3 I 0.2534 0.7466 0.7466 1
I4 I 0.7466 0.2534 0.7466 1
I5 I 0.2534 0.7466 0.2534 1
I6 I 0.2534 0.2534 0.7466 1
Sb1 Sb 0.0000 0.0000 0.0000 1
Rb1 Rb 0.7500 0.7500 0.7500 1
Rb2 Rb 0.2500 0.2500 0.2500 1
Li1 Li 0.5000 0.5000 0.5000 1


No. 11
# meta-GGA SCAN TaNi2GeTe, PBEsol geometry
# **DOS(E_F)**: 3.44 states/eV per cell
# **Symmetry**: P4/mmm
# **Energy relative to the elements, uncorrected**: 1446 meV/atom
data_TaNi2GeTe
_space_group_name_H-M_alt 'P 1'
_space_group_IT_number 1
_cell_length_a 4.4039
_cell_length_b 4.4039
_cell_length_c 5.2323
_cell_angle_alpha 90.00
_cell_angle_beta 90.00
_cell_angle_gamma 90.00
loop_
_space_group_symop_operation_xyz
'x,y,z'
loop_
_atom_site_label
_atom_site_type_symbol
_atom_site_fract_x
_atom_site_fract_y
_atom_site_fract_z
_atom_site_occupancy
Ni1 Ni 0.0000 0.5000 0.0000 1
Ni2 Ni 0.5000 0.0000 0.0000 1
Ge1 Ge 0.0000 0.0000 0.5000 1
Te1 Te 0.0000 0.0000 0.0000 1
Ta1 Ta 0.5000 0.5000 0.5000 1


no.,E (eV per formula unit)
1,-64.19
2,-186.81
3,-137.50
4,-70.97
5,-177.88
6,-149.09
7,-48.39
8,-395.19
9,-58.74
10,-311.85
11,-148.04